(1)
Density functional theory data (GGA+U) for crystalline NaCr2SbO6 at its relaxed geometry.

Cell: 5.264 5.264 5.634 Å, 62.15 62.14 60.00°
Fractional positions:
Cr 0.517 0.517 0.450
Cr 0.013 0.013 0.961
O 0.916 0.607 0.229
O 0.248 0.916 0.229
O 0.363 0.721 0.756
O 0.607 0.248 0.228
O 0.721 0.160 0.756
O 0.160 0.363 0.756
Na 0.799 0.799 0.604
Sb 0.318 0.318 0.047

Properties
- Space-group type: No. 146

***

(2)
Density functional theory data (GGA+U) for crystalline Na2CrSbO6 at its relaxed geometry.

Cell: 5.495 5.514 7.741 Å, 90.00 90.00 90.00°
Fractional positions:
O 0.247 0.997 0.500
O 0.000 0.750 0.256
O 0.747 0.003 0.000
O 0.000 0.750 0.744
O 0.500 0.250 0.244
O 0.753 0.503 0.500
O 0.747 0.497 0.000
O 0.753 0.997 0.500
O 0.253 0.003 0.000
O 0.247 0.503 0.500
O 0.253 0.497 0.000
O 0.500 0.250 0.756
Na 0.500 0.750 0.750
Na 0.000 0.250 0.250
Na 0.000 0.250 0.750
Na 0.500 0.750 0.250
Sb 0.500 0.250 0.500
Sb 0.000 0.750 0.000
Cr 0.500 0.250 0.000
Cr 0.000 0.750 0.500

Properties
- Space-group type: No. 71

***

(3)
Density functional theory data (GGA+U) for crystalline NaCr2SbO8 at its relaxed geometry.

Cell: 5.698 5.698 6.884 Å, 90.00 90.00 120.00°
Fractional positions:
O 0.833 0.173 0.290
O 0.173 0.340 0.710
O 0.333 0.667 0.021
O 0.340 0.167 0.290
O 0.660 0.833 0.710
O 0.827 0.660 0.290
O 0.667 0.333 0.979
O 0.167 0.827 0.710
Cr 0.333 0.667 0.787
Cr 0.667 0.333 0.213
Na 0.000 0.000 0.000
Sb 0.000 0.000 0.500

Properties
- Space-group type: No. 147

***

(4)
Density functional theory data (GGA+U) for crystalline Na4Sc3CrO8 at its relaxed geometry.

Cell: 6.292 6.560 6.292 Å, 118.67 120.00 90.00°
Fractional positions:
O 0.231 0.702 0.461
O 0.769 0.298 0.539
O 0.769 0.298 0.028
O 0.231 0.702 0.972
O 0.265 0.296 0.531
O 0.741 0.702 0.972
O 0.259 0.298 0.028
O 0.735 0.704 0.469
Sc 0.500 0.500 0.000
Sc 0.000 0.500 0.500
Sc 0.500 0.500 0.500
Na 0.500 0.000 0.000
Na 0.000 0.000 0.000
Na 0.000 0.000 0.500
Na 0.500 0.000 0.500
Cr 0.000 0.500 0.000

Properties
- Space-group type: No. 166

***

no.,DFT total energy (eV per atom)
1,-6.7519
2,-5.7716
3,-6.3041
4,-7.0680